(1)
DFT (PBE-GGA) results for a geometry-optimized CdPb2 structure. Values from VASP.

Geometry as Quantum ESPRESSO input:
```
&SYSTEM
  ibrav = 0, nat = 3, ntyp = 2
/
ATOMIC_SPECIES
Cd 112.41 Cd.upf
Pb 207.20 Pb.upf
CELL_PARAMETERS angstrom
5.386 0.000 0.000
-2.693 4.664 0.000
0.000 0.000 3.532
ATOMIC_POSITIONS angstrom
Cd 0.000 0.000 0.000
Pb 0.000 3.110 0.920
Pb 2.693 1.555 2.612
```

energy above the lowest structure with this stoichiometry = 0.023 eV per atom
energy = -2.720 eV per atom
M_tot = 0.00 μB per atom

---

(2)
DFT (PBE-GGA) results for a geometry-optimized Cs3Y3VSe8 structure. Values from VASP.

Geometry as Quantum ESPRESSO input:
```
&SYSTEM
  ibrav = 0, nat = 15, ntyp = 4
/
ATOMIC_SPECIES
Cs 132.91 Cs.upf
Y 88.91 Y.upf
V 50.94 V.upf
Se 78.96 Se.upf
CELL_PARAMETERS angstrom
4.103 2.369 8.563
-4.103 2.369 8.563
0.000 -4.738 8.563
ATOMIC_POSITIONS angstrom
Cs -2.051 -1.184 8.563
Cs -2.051 1.184 17.126
Cs 0.000 2.369 8.563
Y -4.103 0.000 12.844
Y -2.051 1.184 4.281
Y 2.051 1.184 4.281
V 0.000 0.000 12.844
Se 0.000 0.000 5.887
Se -1.872 -1.081 14.330
Se 0.000 -2.162 11.358
Se -1.872 1.081 11.358
Se 1.872 -1.081 14.330
Se 0.000 2.162 14.330
Se 1.872 1.081 11.358
Se 0.000 0.000 19.801
```

energy = -5.388 eV per atom
M_tot = 0.07 μB per atom
formation energy (no corrections) = -1.46 eV per atom

---

(3)
DFT (PBE-GGA) results for a geometry-optimized LaDy2Ag structure. Values from VASP.

Geometry as Quantum ESPRESSO input:
```
&SYSTEM
  ibrav = 0, nat = 12, ntyp = 3
/
ATOMIC_SPECIES
La 138.91 La.upf
Dy 162.50 Dy.upf
Ag 107.87 Ag.upf
CELL_PARAMETERS angstrom
3.608 0.000 0.000
-1.804 3.124 0.000
0.000 0.000 31.747
ATOMIC_POSITIONS angstrom
La 0.000 0.000 0.000
La 0.000 2.083 21.165
La 1.804 1.041 10.582
Dy 0.000 0.000 7.602
Dy 0.000 0.000 24.146
Dy 0.000 2.083 13.563
Dy 0.000 2.083 28.766
Dy 1.804 1.041 2.981
Dy 1.804 1.041 18.184
Ag 0.000 0.000 15.874
Ag 0.000 2.083 5.291
Ag 1.804 1.041 26.456
```

energy above the lowest structure with this stoichiometry = 0.118 eV per atom
energy = -4.253 eV per atom
M_tot = 0.00 μB per atom

---

(4)
DFT (PBE-GGA) results for a geometry-optimized Ca3HoMg4 structure. Values from VASP.

Geometry as Quantum ESPRESSO input:
```
&SYSTEM
  ibrav = 0, nat = 8, ntyp = 3
/
ATOMIC_SPECIES
Ca 40.08 Ca.upf
Ho 164.93 Ho.upf
Mg 24.30 Mg.upf
CELL_PARAMETERS angstrom
3.842 0.000 0.000
0.000 3.842 0.000
0.000 0.000 16.292
ATOMIC_POSITIONS angstrom
Ca 0.000 0.000 0.000
Ca 0.000 0.000 4.220
Ca 0.000 0.000 12.072
Ho 0.000 0.000 8.146
Mg 1.921 1.921 2.119
Mg 1.921 1.921 6.298
Mg 1.921 1.921 9.995
Mg 1.921 1.921 14.173
```

energy = -2.192 eV per atom
M_tot = 0.02 μB per atom